Here is Ce2Ga9Ru3 at its PBEsol-relaxed geometry from Alexandria. Energies are from SCAN.

Calculated values
- Electronic total energy: -24.95 eV per atom
- Size of the total moment: 0.00 Bohr magnetons per cell
- Theoretical density: 8.7 Mg/m³
- E_form: -609 meV per atom

a = 7.464 Å, b = 7.464 Å, c = 9.491 Å
α = 90.00°, β = 90.00°, γ = 60.81°
Fractional coordinates of all 28 atoms:
Ce 0.000 0.327 0.250
Ce 0.000 0.673 0.750
Ce 0.327 0.000 0.750
Ce 0.673 0.000 0.250
Ga 0.008 0.662 0.078
Ga 0.008 0.662 0.422
Ga 0.131 0.869 0.250
Ga 0.337 0.663 0.559
Ga 0.337 0.663 0.941
Ga 0.338 0.992 0.078
Ga 0.338 0.992 0.422
Ga 0.340 0.449 0.250
Ga 0.449 0.340 0.750
Ga 0.551 0.660 0.250
Ga 0.660 0.551 0.750
Ga 0.662 0.008 0.578
Ga 0.662 0.008 0.922
Ga 0.663 0.337 0.059
Ga 0.663 0.337 0.441
Ga 0.869 0.131 0.750
Ga 0.992 0.338 0.578
Ga 0.992 0.338 0.922
Ru 0.000 0.000 0.000
Ru 0.000 0.000 0.500
Ru 0.326 0.326 0.000
Ru 0.326 0.326 0.500
Ru 0.674 0.674 0.000
Ru 0.674 0.674 0.500

***

Here is CeGaSi at its PBEsol-relaxed geometry from Alexandria. Energies are from SCAN.

Calculated values
- Electronic total energy: -24.32 eV per atom
- E_form (uncorrected): -675.5 meV per atom
- Size of the total moment: 1.91 Bohr magnetons per cell
- Theoretical density: 6.5 Mg/m³

a = 7.691 Å, b = 7.691 Å, c = 7.691 Å
α = 148.91°, β = 148.91°, γ = 44.55°
Fractional coordinates of all 6 atoms:
Ce 0.000 0.000 0.000
Ce 0.750 0.250 0.500
Ga 0.333 0.833 0.500
Ga 0.583 0.583 0.000
Si 0.167 0.667 0.500
Si 0.417 0.417 0.000

***

Here is CeZn2Ga2 at its PBEsol-relaxed geometry from Alexandria. Energies are from SCAN.

Calculated values
- Electronic total energy: -21.38 eV per atom
- Size of the total moment: 0.88 Bohr magnetons per cell
- Theoretical density: 7.5 Mg/m³
- E_form: -522 meV per atom

a = 5.929 Å, b = 5.929 Å, c = 5.929 Å
α = 138.46°, β = 138.46°, γ = 60.20°
Fractional coordinates of all 5 atoms:
Ce 0.000 0.000 0.000
Zn 0.385 0.385 0.000
Zn 0.615 0.615 0.000
Ga 0.250 0.750 0.500
Ga 0.750 0.250 0.500

***

Here is CeZnGa at its PBEsol-relaxed geometry from Alexandria. Energies are from SCAN.

Calculated values
- Electronic total energy: -25.35 eV per atom
- Size of the total moment: 2.39 Bohr magnetons per cell
- Theoretical density: 7.6 Mg/m³
- E_form: -539 meV per atom

a = 4.457 Å, b = 4.457 Å, c = 6.993 Å
α = 90.00°, β = 90.00°, γ = 120.00°
Fractional coordinates of all 6 atoms:
Ce 0.000 0.000 0.000
Ce 0.000 0.000 0.500
Zn 0.333 0.667 0.250
Zn 0.667 0.333 0.750
Ga 0.333 0.667 0.750
Ga 0.667 0.333 0.250

***

Here is CeGd3 at its PBEsol-relaxed geometry from Alexandria. Energies are from SCAN.

Calculated values
- Electronic total energy: -55.09 eV per atom
- Size of the total moment: 21.46 Bohr magnetons per cell
- Theoretical density: 8.7 Mg/m³
- E_form: 159 meV per atom

a = 4.886 Å, b = 4.886 Å, c = 4.886 Å
α = 90.00°, β = 90.00°, γ = 90.00°
Fractional coordinates of all 4 atoms:
Ce 0.000 0.000 0.000
Gd 0.000 0.500 0.500
Gd 0.500 0.000 0.500
Gd 0.500 0.500 0.000

***

Here is CeGe at its PBEsol-relaxed geometry from Alexandria. Energies are from SCAN.

Calculated values
- Electronic total energy: -32.60 eV per atom
- Size of the total moment: 4.05 Bohr magnetons per cell
- Theoretical density: 7.5 Mg/m³
- E_form: -775 meV per atom

a = 8.132 Å, b = 3.983 Å, c = 5.791 Å
α = 90.00°, β = 90.00°, γ = 90.00°
Fractional coordinates of all 8 atoms:
Ce 0.185 0.250 0.121
Ce 0.315 0.750 0.621
Ce 0.685 0.250 0.379
Ce 0.815 0.750 0.879
Ge 0.037 0.250 0.641
Ge 0.463 0.750 0.141
Ge 0.537 0.250 0.859
Ge 0.963 0.750 0.359